Below is Ag2IrPd after structural relaxation, with properties calculated at the PBE level.

Results
- energy relative to the elements (meV/atom) = 345

Cell: 10.444 10.444 10.444 Å, 15.16 15.16 15.16°
Atoms (fractional coordinates):
1 Ag 0.089 0.089 0.089
2 Ag 0.911 0.911 0.911
3 Ir 0.000 0.000 0.000
4 Pd 0.500 0.500 0.500

=====

Below is NaPuHgGe after structural relaxation, with properties calculated at the PBE level.

Results
- energy relative to the elements (meV/atom) = -175

Cell: 5.126 5.126 5.126 Å, 60.00 60.00 60.00°
Atoms (fractional coordinates):
1 Na 0.000 0.000 0.000
2 Pu 0.500 0.500 0.500
3 Hg 0.250 0.250 0.250
4 Ge 0.750 0.750 0.750

=====

Below is Ba2SbRu after structural relaxation, with properties calculated at the PBE level.

Results
- formation energy from raw total energies (eV per atom) = -0.1497

Cell: 8.688 8.688 8.688 Å, 94.93 94.93 145.90°
Atoms (fractional coordinates):
1 Ba 0.375 0.052 0.177
2 Ba 0.802 0.625 0.677
3 Ba 0.875 0.198 0.823
4 Ba 0.948 0.125 0.323
5 Sb 0.250 0.750 0.500
6 Sb 0.500 0.500 0.000
7 Ru 0.000 0.000 0.000
8 Ru 0.750 0.250 0.500

=====

Number 1: raw total energy -18.37 eV for the cell shown. Number 2: raw total energy -21.27 eV for the cell shown. Number 3: raw total energy -35.69 eV for the cell shown.